Compound: CsHf2O4
Source: OQMD via LeMat-Bulk
Functional: PBE
Structure: relaxed

Cell lengths 9.652, 9.652, 9.652 Å; angles 90.00, 90.00, 90.00 degrees
Space group Fd-3m (No. 227, origin choice 2)
Inequivalent atoms, fractional coordinates:
Cs 0.125 0.125 0.125 [8 per cell]
Hf 0.000 0.000 0.500 [16 per cell]
O 0.029 0.029 0.721 [32 per cell]

Values from the calculation:
**Total magnetic moment**: 0.06 μB/f.u.
**Final energy**: -8.408 eV per atom